The following is a DFT calculation (PBE-GGA) of LaAl3C after structural relaxation.

Cell: 4.496 4.496 4.496 Å, 90.00 90.00 90.00°
Fractional positions:
Al (0.000, 0.000, 0.500)
Al (0.000, 0.500, 0.000)
Al (0.500, 0.000, 0.000)
La (0.500, 0.500, 0.500)
C (0.000, 0.000, 0.000)

- size of the total moment (μB/atom) = 0.000
- formation enthalpy at 0 K (eV per atom) = 0.37
- mass density (Mg/m³) = 4.2
- density of states at the Fermi level (states/eV/cell) = 2.9
- crystal system = cubic
- ΔE to the lowest computed polymorph (eV per formula unit) = 0.00
- E (eV per atom) = -4.702